Version one
Here is a relaxed TbSm3Y3 crystal from Alexandria via LeMat-Bulk. Energies are from PBE-GGA.

a b c (Å): 9.9449 9.9449 8.2920
angles (deg): 90.00 90.00 120.00
Space group R3m (No. 160, hexagonal axes)
Inequivalent atoms, fractional coordinates:
Tb: 0.0000 0.0000 0.0000
Sm: 0.2150 0.4300 0.3755
Y: 0.1998 0.3996 0.9476

Total moment = 0.00 Bohr magnetons per cell

=====

Version two
Here is a relaxed TbSm3Y3 crystal from Alexandria via LeMat-Bulk. Energies are from PBE-GGA.

a b c (Å): 6.2399 6.2399 43.1051
angles (deg): 90.00 90.00 120.00
Space group R-3 (No. 148, hexagonal axes)
Inequivalent atoms, fractional coordinates:
Tb: 0.0000 0.0000 0.1667
Sm: 0.0002 0.3312 0.6320
Y: 0.9999 0.3335 0.1011

Total moment = 0.00 Bohr magnetons per cell

=====

Most stable one: version two, least stable one: version one.

=====

Version one
Here is a relaxed TbSmY5 crystal from Alexandria via LeMat-Bulk. Energies are from PBE-GGA.

a b c (Å): 6.347 22.821 6.593
angles (deg): 90.00 104.68 90.00
Space group C2/c (No. 15)
Inequivalent atoms, fractional coordinates:
Tb: 0.000 0.166 0.250
Sm: 0.000 0.419 0.250
Y: 0.000 0.144 0.750
Y: 0.027 0.294 0.000
Y: 0.227 0.044 0.141

Total moment = 0.00 Bohr magnetons per cell

=====

Version two
Here is a relaxed TbSmY5 crystal from Alexandria via LeMat-Bulk. Energies are from PBE-GGA.

a b c (Å): 5.791 8.596 11.929
angles (deg): 90.00 90.00 90.00
Space group Immm (No. 71)
Inequivalent atoms, fractional coordinates:
Tb: 0.000 0.000 0.000
Sm: 0.000 0.000 0.500
Y: 0.000 0.000 0.254
Y: 0.000 0.321 0.500
Y: 0.000 0.500 0.000

Total moment = 0.00 Bohr magnetons per cell

=====

Most stable one: version one, least stable one: version two.

=====

Version one
Here is a relaxed Tb3Sm7Y crystal from Alexandria via LeMat-Bulk. Energies are from PBE-GGA.

a b c (Å): 12.791 11.263 5.884
angles (deg): 90.00 117.37 90.00
Space group C2/m (No. 12)
Inequivalent atoms, fractional coordinates:
Tb: 0.000 0.000 0.000
Tb: 0.000 0.206 0.500
Sm: 0.000 0.500 0.500
Sm: 0.197 0.206 0.196
Sm: 0.208 0.000 0.707
Y: 0.000 0.500 0.000

Total moment = 0.45 Bohr magnetons per cell

=====

Version two
Here is a relaxed Tb3Sm7Y crystal from Alexandria via LeMat-Bulk. Energies are from PBE-GGA.

a b c (Å): 7.078 5.626 10.008
angles (deg): 90.00 110.52 90.00
Space group P2/m (No. 10)
Inequivalent atoms, fractional coordinates:
Tb: 0.000 0.000 0.000
Tb: 0.220 0.500 0.500
Sm: 0.084 0.000 0.671
Sm: 0.180 0.500 0.860
Sm: 0.354 0.500 0.209
Sm: 0.500 0.000 0.500
Y: 0.500 0.000 0.000

Total moment = 0.00 Bohr magnetons per cell

=====

Most stable one: version two, least stable one: version one.

=====

Version one
Here is a relaxed Tb7SmY3 crystal from Alexandria via LeMat-Bulk. Energies are from PBE-GGA.

a b c (Å): 7.023 5.571 9.932
angles (deg): 90.00 110.59 90.00
Space group P2/m (No. 10)
Inequivalent atoms, fractional coordinates:
Tb: 0.000 0.000 0.000
Tb: 0.146 0.500 0.292
Tb: 0.323 0.500 0.642
Tb: 0.417 0.000 0.831
Sm: 0.000 0.000 0.500
Y: 0.278 0.500 0.000
Y: 0.500 0.000 0.500

Total moment = 0.00 Bohr magnetons per cell

=====

Version two
Here is a relaxed Tb7SmY3 crystal from Alexandria via LeMat-Bulk. Energies are from PBE-GGA.

a b c (Å): 7.0828 7.0828 8.6488
angles (deg): 90.00 90.00 120.00
Space group P3m1 (No. 156)
Inequivalent atoms, fractional coordinates:
Tb: 0.0000 0.0000 0.0000
Tb: 0.1654 0.3307 0.3273
Tb: 0.5013 0.0025 0.9947
Sm: 0.6667 0.3333 0.3217
Y: 0.3328 0.1664 0.6619

Total moment = 0.00 Bohr magnetons per cell

=====

Most stable one: version one, least stable one: version two.

=====

Version one
Here is a relaxed Tb2Sm4Y crystal from Alexandria via LeMat-Bulk. Energies are from PBE-GGA.

a b c (Å): 6.563 10.911 13.233
angles (deg): 90.00 90.00 90.00
Space group Cmce (No. 64)
Inequivalent atoms, fractional coordinates:
Tb: 0.000 0.162 0.072
Sm: 0.000 0.234 0.336
Sm: 0.250 0.020 0.750
Y: 0.000 0.000 0.500

Total moment = 0.00 Bohr magnetons per cell

=====

Version two
Here is a relaxed Tb2Sm4Y crystal from Alexandria via LeMat-Bulk. Energies are from PBE-GGA.

a b c (Å): 6.220 6.629 11.616
angles (deg): 90.00 104.47 90.00
Space group P2_1/m (No. 11)
Inequivalent atoms, fractional coordinates:
Tb: 0.107 0.250 0.493
Tb: 0.211 0.250 0.076
Sm: 0.151 0.009 0.786
Sm: 0.350 0.750 0.050
Sm: 0.462 0.750 0.639
Y: 0.349 0.750 0.338

Total moment = 0.00 Bohr magnetons per cell

=====

Most stable one: version two, least stable one: version one.

=====

Version one
Here is a relaxed Tb3Sm7Y2 crystal from Alexandria via LeMat-Bulk. Energies are from PBE-GGA.

a b c (Å): 5.874 3.602 18.987
angles (deg): 90.00 93.47 90.00
Space group P2/m (No. 10)
Inequivalent atoms, fractional coordinates:
Tb: 0.000 0.000 0.000
Tb: 0.282 0.500 0.632
Sm: 0.180 0.500 0.144
Sm: 0.242 0.000 0.465
Sm: 0.318 0.000 0.819
Sm: 0.500 0.500 0.000
Y: 0.207 0.000 0.296

Total moment = 0.00 Bohr magnetons per cell

=====

Version two
Here is a relaxed Tb3Sm7Y2 crystal from Alexandria via LeMat-Bulk. Energies are from PBE-GGA.

a b c (Å): 6.427 3.557 17.587
angles (deg): 90.00 96.03 90.00
Space group P2/m (No. 10)
Inequivalent atoms, fractional coordinates:
Tb: 0.000 0.000 0.000
Tb: 0.048 0.500 0.659
Sm: 0.227 0.500 0.166
Sm: 0.243 0.000 0.503
Sm: 0.274 0.000 0.831
Sm: 0.500 0.500 0.000
Y: 0.443 0.000 0.329

Total moment = 0.00 Bohr magnetons per cell

=====

Most stable one: version two, least stable one: version one.

=====

Version one
Here is a relaxed TbSmY crystal from Alexandria via LeMat-Bulk. Energies are from PBE-GGA.

a b c (Å): 6.262 3.622 8.925
angles (deg): 90.00 103.70 90.00
Space group Cm (No. 8)
Inequivalent atoms, fractional coordinates:
Tb: 0.000 0.000 0.000
Sm: 0.279 0.500 0.336
Y: 0.223 0.000 0.671

Total moment = 0.00 Bohr magnetons per cell

=====

Version two
Here is a relaxed TbSmY crystal from Alexandria via LeMat-Bulk. Energies are from PBE-GGA.

a b c (Å): 5.6902 5.6902 3.4810
angles (deg): 90.00 90.00 120.00
Space group P-6m2 (No. 187)
Inequivalent atoms, fractional coordinates:
Tb: 0.0000 0.0000 0.0000
Sm: 0.6667 0.3333 0.5000
Y: 0.3333 0.6667 0.0000

Total moment = 0.00 Bohr magnetons per cell

=====

Version three
Here is a relaxed TbSmY crystal from Alexandria via LeMat-Bulk. Energies are from PBE-GGA.

a b c (Å): 11.157 5.936 7.000
angles (deg): 90.00 121.88 90.00
Space group C2/m (No. 12)
Inequivalent atoms, fractional coordinates:
Tb: 0.004 0.000 0.254
Sm: 0.171 0.500 0.760
Y: 0.163 0.500 0.255

Total moment = 0.00 Bohr magnetons per cell

=====

Most stable one: version one, least stable one: version three.

=====

Version one
Here is a relaxed Tb7SmY12 crystal from Alexandria via LeMat-Bulk. Energies are from PBE-GGA.

a b c (Å): 11.292 11.292 11.292
angles (deg): 90.00 90.00 90.00
Space group Im-3m (No. 229)
Inequivalent atoms, fractional coordinates:
Tb: 0.000 0.000 0.500
Tb: 0.250 0.250 0.250
Sm: 0.000 0.000 0.000
Y: 0.000 0.252 0.252

Total moment = 0.00 Bohr magnetons per cell

=====

Version two
Here is a relaxed Tb7SmY12 crystal from Alexandria via LeMat-Bulk. Energies are from PBE-GGA.

a b c (Å): 12.8845 12.8845 13.6617
angles (deg): 90.00 90.00 120.00
Space group R-3 (No. 148, hexagonal axes)
Inequivalent atoms, fractional coordinates:
Tb: 0.0000 0.0000 0.0000
Tb: 0.0686 0.2008 0.3474
Sm: 0.0000 0.0000 0.5000
Y: 0.0000 0.4354 0.2503
Y: 0.0681 0.8683 0.8478

Total moment = 0.00 Bohr magnetons per cell

=====

Most stable one: version two, least stable one: version one.